[1]
## TaBiBr2 (PBEsol)

Data for an optimized crystal structure of TaBiBr2.

Summary:
- formation energy from raw total energies (eV per formula unit) = 2.68
- density (Mg/m³) = 10.62

extended XYZ file:
```
4
Lattice="0.000 3.503 3.503 3.503 0.000 3.503 3.503 3.503 0.000" Properties=species:S:1:pos:R:3 pbc="T T T"
Ta 0.000 0.000 0.000
Bi 3.503 3.503 3.503
Br 1.751 1.751 1.751
Br 5.254 5.254 5.254
```

---

[2]
## Tc3BiBr (PBEsol)

Data for an optimized crystal structure of Tc3BiBr.

Summary:
- formation energy from raw total energies (eV per formula unit) = 7.56
- density (Mg/m³) = 10.08

extended XYZ file:
```
5
Lattice="4.579 0.000 0.000 0.000 4.579 0.000 0.000 0.000 4.579" Properties=species:S:1:pos:R:3 pbc="T T T"
Tc 0.000 0.000 2.290
Tc 0.000 2.290 0.000
Tc 2.290 0.000 0.000
Bi 2.290 2.290 2.290
Br 0.000 0.000 0.000
```

---

[3]
## BiTeBr2 (PBEsol)

Data for an optimized crystal structure of BiTeBr2.

Summary:
- formation energy from raw total energies (eV per formula unit) = -0.30
- density (Mg/m³) = 5.84

extended XYZ file:
```
8
Lattice="-4.825 4.825 3.034 4.825 -4.825 3.034 4.825 4.825 -3.034" Properties=species:S:1:pos:R:3 pbc="T T T"
Bi 0.000 0.000 0.000
Bi 0.000 4.825 1.517
Te 4.825 0.000 1.517
Te 0.000 0.000 3.034
Br 7.238 1.420 -0.758
Br 1.420 2.413 0.758
Br -2.413 3.405 2.275
Br 3.405 2.413 3.792
```

---

[4]
## BiTe2Br (PBEsol)

Data for an optimized crystal structure of BiTe2Br.

Summary:
- formation energy from raw total energies (eV per formula unit) = -0.35
- density (Mg/m³) = 5.73

extended XYZ file:
```
4
Lattice="2.258 1.303 8.933 -2.258 1.303 8.933 0.000 -2.607 8.933" Properties=species:S:1:pos:R:3 pbc="T T T"
Bi 0.000 0.000 0.000
Te 0.000 0.000 10.656
Te 0.000 0.000 16.142
Br 0.000 0.000 13.399
```

---

[5]
## Bi3TeBr (PBEsol)

Data for an optimized crystal structure of Bi3TeBr.

Summary:
- formation energy from raw total energies (eV per formula unit) = 3.91
- density (Mg/m³) = 7.87

extended XYZ file:
```
5
Lattice="5.605 0.000 0.000 0.000 5.605 0.000 0.000 0.000 5.605" Properties=species:S:1:pos:R:3 pbc="T T T"
Bi 0.000 0.000 2.803
Bi 0.000 2.803 0.000
Bi 2.803 0.000 0.000
Te 2.803 2.803 2.803
Br 0.000 0.000 0.000
```

---

[6]
## BiTe2Br (PBEsol)

Data for an optimized crystal structure of BiTe2Br.

Summary:
- formation energy from raw total energies (eV per formula unit) = 0.25
- density (Mg/m³) = 8.28

extended XYZ file:
```
4
Lattice="0.000 3.793 3.793 3.793 0.000 3.793 3.793 3.793 0.000" Properties=species:S:1:pos:R:3 pbc="T T T"
Bi 0.000 0.000 0.000
Te 1.897 1.897 1.897
Te 5.690 5.690 5.690
Br 3.793 3.793 3.793
```

---

[7]
## BiTeBr3 (PBEsol)

Data for an optimized crystal structure of BiTeBr3.

Summary:
- formation energy from raw total energies (eV per formula unit) = 1.12
- density (Mg/m³) = 5.42

extended XYZ file:
```
5
Lattice="5.608 0.000 0.000 0.000 5.608 0.000 0.000 0.000 5.608" Properties=species:S:1:pos:R:3 pbc="T T T"
Bi 0.000 0.000 0.000
Te 2.804 2.804 2.804
Br 0.000 2.804 2.804
Br 2.804 0.000 2.804
Br 2.804 2.804 0.000
```

---

[8]
## TiBi3Br (PBEsol)

Data for an optimized crystal structure of TiBi3Br.

Summary:
- formation energy from raw total energies (eV per formula unit) = 5.16
- density (Mg/m³) = 7.46

extended XYZ file:
```
5
Lattice="5.517 0.000 0.000 0.000 5.517 0.000 0.000 0.000 5.517" Properties=species:S:1:pos:R:3 pbc="T T T"
Ti 0.000 0.000 0.000
Bi 0.000 2.758 2.758
Bi 2.758 0.000 2.758
Bi 2.758 2.758 0.000
Br 2.758 2.758 2.758
```

---

[9]
## Bi2W2Br (PBEsol)

Data for an optimized crystal structure of Bi2W2Br.

Summary:
- formation energy from raw total energies (eV per formula unit) = 1.93
- density (Mg/m³) = 11.75

extended XYZ file:
```
5
Lattice="-1.827 1.827 9.164 1.827 -1.827 9.164 1.827 1.827 -9.164" Properties=species:S:1:pos:R:3 pbc="T T T"
Bi 0.000 0.000 2.189
Bi 0.000 0.000 16.138
W 1.827 0.000 4.582
W 0.000 1.827 4.582
Br 0.000 0.000 9.164
```

---

[10]
## Zr3Bi10Br18 (PBEsol)

Data for an optimized crystal structure of Zr3Bi10Br18.

Summary:
- formation energy from raw total energies (eV per formula unit) = -23.99
- density (Mg/m³) = 6.43

extended XYZ file:
```
62
Lattice="14.330 0.000 0.000 -7.165 12.410 0.000 0.000 0.000 11.048" Properties=species:S:1:pos:R:3 pbc="T T T"
Zr -4.074 9.598 0.000
Zr 0.890 4.083 0.000
Zr 3.981 1.270 5.524
Zr 3.184 11.140 0.000
Zr 6.275 8.327 5.524
Zr 11.239 2.813 5.524
Bi 0.000 0.000 2.778
Bi 0.000 0.000 8.302
Bi -2.623 7.495 5.528
Bi -0.424 6.467 3.575
Bi -0.423 6.467 7.484
Bi -1.353 9.544 3.575
Bi -1.353 9.543 7.484
Bi 1.986 6.391 5.528
Bi 1.777 8.810 3.575
Bi 1.776 8.810 7.484
Bi 0.637 10.935 5.528
Bi 6.528 1.476 0.004
Bi 5.389 3.600 1.959
Bi 5.388 3.600 9.099
Bi 5.179 6.019 0.004
Bi 8.518 2.867 1.959
Bi 8.518 2.866 9.099
Bi 7.588 5.943 1.959
Bi 7.589 5.944 9.099
Bi 9.788 4.915 0.004
Br -3.650 7.786 9.146
Br -3.639 7.786 1.895
Br -0.525 2.858 9.227
Br -0.526 2.864 1.818
Br -0.611 3.501 5.525
Br -4.422 11.434 1.818
Br -4.427 11.437 9.227
Br -3.828 11.189 5.525
Br -0.837 6.032 11.033
Br 2.212 1.884 3.703
Br 2.217 1.888 7.342
Br 2.726 2.280 0.001
Br -1.523 10.119 11.033
Br 2.242 5.366 1.895
Br 2.247 5.356 9.146
Br 5.762 0.732 3.622
Br 5.768 0.741 7.419
Br 4.805 3.741 5.509
Br 2.360 8.670 11.033
Br 1.397 11.669 1.895
Br 1.403 11.679 9.146
Br 4.918 7.054 3.622
Br 4.923 7.044 7.419
Br 8.688 2.291 5.509
Br 4.439 10.131 5.525
Br 4.948 10.523 1.818
Br 4.953 10.526 9.227
Br 8.002 6.379 5.509
Br 10.993 1.221 0.001
Br 11.593 0.974 3.703
Br 11.587 0.976 7.342
Br 7.776 8.910 0.001
Br 7.692 9.546 7.342
Br 7.691 9.553 3.703
Br 10.804 4.625 7.419
Br 10.815 4.624 3.622
```

---

[11]
## ZrBiBr3 (PBEsol)

Data for an optimized crystal structure of ZrBiBr3.

Summary:
- formation energy from raw total energies (eV per formula unit) = 2.47
- density (Mg/m³) = 4.85

extended XYZ file:
```
5
Lattice="5.696 0.000 0.000 0.000 5.696 0.000 0.000 0.000 5.696" Properties=species:S:1:pos:R:3 pbc="T T T"
Zr 0.000 0.000 0.000
Bi 2.848 2.848 2.848
Br 0.000 2.848 2.848
Br 2.848 0.000 2.848
Br 2.848 2.848 0.000
```

---

[12]
## CaBiCO4F (PBEsol)

Data for an optimized crystal structure of CaBiCO4F.

Summary:
- formation energy from raw total energies (eV per formula unit) = -17.26
- density (Mg/m³) = 5.93

extended XYZ file:
```
32
Lattice="5.326 0.000 0.000 0.000 13.580 0.000 0.000 0.000 5.331" Properties=species:S:1:pos:R:3 pbc="T T T"
Ca 0.000 1.351 1.333
Ca 0.000 12.229 3.998
Ca 2.663 1.351 3.998
Ca 2.663 12.229 1.333
Bi 0.000 5.494 1.333
Bi 0.000 8.086 3.998
Bi 2.663 5.494 3.998
Bi 2.663 8.086 1.333
C 0.000 3.317 3.998
C 0.000 10.263 1.333
C 2.663 3.317 1.333
C 2.663 10.263 3.998
O 0.000 4.638 3.998
O 0.000 8.942 1.333
O 0.799 2.707 3.203
O 0.799 10.873 0.538
O 1.331 6.790 2.653
O 1.331 6.790 5.318
O 1.864 2.707 0.538
O 1.864 10.873 3.203
O 2.663 4.638 1.333
O 2.663 8.942 3.998
O 3.462 2.707 2.128
O 3.462 10.873 4.793
O 3.994 6.790 0.012
O 3.994 6.790 2.678
O 4.526 2.707 4.793
O 4.526 10.873 2.128
F 1.331 0.000 2.602
F 1.331 0.000 5.268
F 3.994 0.000 0.063
F 3.994 0.000 2.728
```

---

[13]
## CdBi2OsC (PBEsol)

Data for an optimized crystal structure of CdBi2OsC.

Summary:
- energy of formation from the pure elements (eV per atom) = 2.243
- density (Mg/m³) = 10.53

extended XYZ file:
```
5
Lattice="5.523 0.000 0.000 0.000 5.523 0.000 0.000 0.000 3.788" Properties=species:S:1:pos:R:3 pbc="T T T"
Cd 0.000 0.000 0.000
Bi 0.000 2.762 0.000
Bi 2.762 0.000 0.000
Os 2.762 2.762 1.894
C 0.000 0.000 1.894
```

---

[14]
## BiCCl2 (PBEsol)

Data for an optimized crystal structure of BiCCl2.

Summary:
- formation energy from raw total energies (eV per formula unit) = 4.53
- density (Mg/m³) = 5.49

extended XYZ file:
```
8
Lattice="0.000 4.452 4.452 4.452 0.000 4.452 4.452 4.452 0.000" Properties=species:S:1:pos:R:3 pbc="T T T"
Bi 1.113 1.113 1.113
Bi 7.791 7.791 7.791
C 3.339 3.339 3.339
C 5.565 5.565 5.565
Cl 4.452 2.226 2.226
Cl 2.226 4.452 2.226
Cl 2.226 2.226 4.452
Cl 4.452 4.452 4.452
```

---

[15]
## CoBiC2Cl (PBEsol)

Data for an optimized crystal structure of CoBiC2Cl.

Summary:
- formation energy from raw total energies (eV per formula unit) = 7.09
- density (Mg/m³) = 7.69

extended XYZ file:
```
5
Lattice="3.855 0.000 0.000 0.000 3.855 0.000 0.000 0.000 4.755" Properties=species:S:1:pos:R:3 pbc="T T T"
Co 0.000 0.000 0.000
Bi 1.927 1.927 2.378
C 0.000 1.927 0.000
C 1.927 0.000 0.000
Cl 0.000 0.000 2.378
```

---

[16]
## BiHC2Cl (PBEsol)

Data for an optimized crystal structure of BiHC2Cl.

Summary:
- total energy (eV for the cell shown) = -17.561
- density (Mg/m³) = 6.82

extended XYZ file:
```
5
Lattice="3.780 0.000 0.000 0.000 3.780 0.000 0.000 0.000 4.592" Properties=species:S:1:pos:R:3 pbc="T T T"
Bi 0.000 0.000 0.000
H 1.890 1.890 2.296
C 0.000 1.890 2.296
C 1.890 0.000 2.296
Cl 1.890 1.890 0.000
```

---

[17]
## BiCSCl2 (PBEsol)

Data for an optimized crystal structure of BiCSCl2.

Summary:
- formation energy from raw total energies (eV per formula unit) = 3.49
- density (Mg/m³) = 6.35

extended XYZ file:
```
5
Lattice="4.382 0.000 0.000 0.000 4.382 0.000 0.000 0.000 4.413" Properties=species:S:1:pos:R:3 pbc="T T T"
Bi 0.000 0.000 0.000
C 2.191 2.191 2.206
S 2.191 2.191 0.000
Cl 0.000 2.191 2.206
Cl 2.191 0.000 2.206
```

---

[18]
## CoBi2C (PBEsol)

Data for an optimized crystal structure of CoBi2C.

Summary:
- energy of formation from the pure elements (eV per atom) = 1.111
- density (Mg/m³) = 9.50

extended XYZ file:
```
8
Lattice="-2.866 2.866 5.201 2.866 -2.866 5.201 2.866 2.866 -5.201" Properties=species:S:1:pos:R:3 pbc="T T T"
Co 0.000 0.000 0.000
Co 0.000 2.866 2.601
Bi 1.433 1.573 -1.300
Bi 4.160 1.433 1.300
Bi 1.433 1.294 3.901
Bi -1.294 1.433 6.501
C 2.866 0.000 2.601
C 0.000 0.000 5.201
```

---

[19]
## CoBiOsC2 (PBEsol)

Data for an optimized crystal structure of CoBiOsC2.

Summary:
- energy of formation from the pure elements (eV per atom) = 3.735
- density (Mg/m³) = 8.42

extended XYZ file:
```
5
Lattice="4.299 0.000 0.000 0.000 4.299 0.000 0.000 0.000 5.143" Properties=species:S:1:pos:R:3 pbc="T T T"
Co 0.000 0.000 0.000
Bi 2.150 2.150 2.571
Os 2.150 2.150 0.000
C 0.000 2.150 2.571
C 2.150 0.000 2.571
```

---

[20]
## RbCoBiC2 (PBEsol)

Data for an optimized crystal structure of RbCoBiC2.

Summary:
- energy of formation from the pure elements (eV per atom) = 3.422
- density (Mg/m³) = 6.65

extended XYZ file:
```
5
Lattice="4.497 0.000 0.000 0.000 4.497 0.000 0.000 0.000 4.662" Properties=species:S:1:pos:R:3 pbc="T T T"
Rb 0.000 0.000 0.000
Co 0.000 0.000 2.331
Bi 2.249 2.249 2.331
C 0.000 2.249 0.000
C 2.249 0.000 0.000
```